(1)
# PuUP3, relaxed, DFT PBE-GGA
data_PuUP3
_symmetry_space_group_name_H-M 'P b c m'
_symmetry_Int_Tables_number 57
_cell_length_a 12.787
_cell_length_b 5.198
_cell_length_c 5.653
_cell_angle_alpha 90.00
_cell_angle_beta 90.00
_cell_angle_gamma 90.00
loop_
_symmetry_equiv_pos_as_xyz
'x,y,z'
'-x,-y,-z'
'-x,-y,z+1/2'
'x,y,-z+1/2'
'x,-y+1/2,-z'
'-x,y+1/2,z'
'-x,y+1/2,-z+1/2'
'x,-y+1/2,z+1/2'
loop_
_atom_site_label
_atom_site_type_symbol
_atom_site_fract_x
_atom_site_fract_y
_atom_site_fract_z
Pu1 Pu 0.169 0.007 0.250
U1 U 0.416 0.750 0.000
P1 P 0.001 0.750 0.000
P2 P 0.246 0.508 0.250
P3 P 0.390 0.231 0.250
# E_form in eV per atom: -0.650
# Fermi-level density of states in states/eV/f.u.: 12.44
# DFT total energy in eV per cell: -180.396
# M_tot in μB/atom: 0.59

(2)
# Pu3U2P6, relaxed, DFT PBE-GGA
data_Pu3U2P6
_symmetry_space_group_name_H-M 'R -3 m'
_symmetry_Int_Tables_number 166
_symmetry_space_group_name_Hall '-R 3 2"'
_cell_length_a 4.0030
_cell_length_b 4.0030
_cell_length_c 55.1629
_cell_angle_alpha 90.00
_cell_angle_beta 90.00
_cell_angle_gamma 120.00
loop_
_atom_site_label
_atom_site_type_symbol
_atom_site_fract_x
_atom_site_fract_y
_atom_site_fract_z
Pu1 Pu 0.0000 0.0000 0.0000
Pu2 Pu 0.0000 0.0000 0.2746
U1 U 0.0000 0.0000 0.4507
P1 P 0.0000 0.0000 0.0893
P2 P 0.0000 0.0000 0.1929
P3 P 0.0000 0.0000 0.3631
# E_form in eV per atom: -0.823
# Fermi-level density of states in states/eV/f.u.: 34.38
# DFT total energy in eV per cell: -321.260
# M_tot in μB/atom: 1.30

(3)
# Pu2UP, relaxed, DFT PBE-GGA
data_Pu2UP
_symmetry_space_group_name_H-M 'P 4/m m m'
_symmetry_Int_Tables_number 123
_symmetry_space_group_name_Hall '-P 4 2'
_cell_length_a 4.274
_cell_length_b 4.274
_cell_length_c 4.145
_cell_angle_alpha 90.00
_cell_angle_beta 90.00
_cell_angle_gamma 90.00
loop_
_atom_site_label
_atom_site_type_symbol
_atom_site_fract_x
_atom_site_fract_y
_atom_site_fract_z
Pu1 Pu 0.000 0.500 0.000
U1 U 0.000 0.000 0.500
P1 P 0.500 0.500 0.500
# Distance to the lowest polymorph of the same formula in meV/atom: 0.0
# E_form in eV per atom: -0.376
# Fermi-level density of states in states/eV/f.u.: 8.25
# DFT total energy in eV per cell: -46.864
# M_tot in μB/atom: 1.81

(4)
# Pu2U4P3, relaxed, DFT PBE-GGA
data_Pu2U4P3
_symmetry_space_group_name_H-M 'C 1 2/c 1'
_symmetry_Int_Tables_number 15
_cell_length_a 10.564
_cell_length_b 8.787
_cell_length_c 8.019
_cell_angle_alpha 90.00
_cell_angle_beta 100.33
_cell_angle_gamma 90.00
loop_
_symmetry_equiv_pos_as_xyz
'x,y,z'
'-x,-y,-z'
'-x,y,-z+1/2'
'x,-y,z+1/2'
'x+1/2,y+1/2,z'
'-x+1/2,-y+1/2,-z'
'-x+1/2,y+1/2,-z+1/2'
'x+1/2,-y+1/2,z+1/2'
loop_
_atom_site_label
_atom_site_type_symbol
_atom_site_fract_x
_atom_site_fract_y
_atom_site_fract_z
Pu1 Pu 0.181 0.135 0.364
U1 U 0.092 0.328 0.530
U2 U 0.168 0.073 0.059
P1 P 0.000 0.089 0.750
P2 P 0.153 0.388 0.172
# E_form in eV per atom: -0.464
# Fermi-level density of states in states/eV/f.u.: 13.83
# DFT total energy in eV per cell: -376.879
# M_tot in μB/atom: 0.00

(5)
# PuU3P4, relaxed, DFT PBE-GGA
data_PuU3P4
_symmetry_space_group_name_H-M 'P m -3 m'
_symmetry_Int_Tables_number 221
_symmetry_space_group_name_Hall '-P 4 2 3'
_cell_length_a 5.590
_cell_length_b 5.590
_cell_length_c 5.590
_cell_angle_alpha 90.00
_cell_angle_beta 90.00
_cell_angle_gamma 90.00
loop_
_atom_site_label
_atom_site_type_symbol
_atom_site_fract_x
_atom_site_fract_y
_atom_site_fract_z
Pu1 Pu 0.000 0.000 0.000
U1 U 0.000 0.500 0.500
P1 P 0.000 0.000 0.500
P2 P 0.500 0.500 0.500
# E_form in eV per atom: -1.015
# Fermi-level density of states in states/eV/f.u.: 21.51
# DFT total energy in eV per cell: -77.957
# M_tot in μB/atom: 1.46

(6)
# PuUP2, relaxed, DFT PBE-GGA
data_PuUP2
_symmetry_space_group_name_H-M 'R 3 m'
_symmetry_Int_Tables_number 160
_symmetry_space_group_name_Hall 'R 3 -2"'
_cell_length_a 3.8752
_cell_length_b 3.8752
_cell_length_c 20.8181
_cell_angle_alpha 90.00
_cell_angle_beta 90.00
_cell_angle_gamma 120.00
loop_
_atom_site_label
_atom_site_type_symbol
_atom_site_fract_x
_atom_site_fract_y
_atom_site_fract_z
Pu1 Pu 0.0000 0.0000 0.0000
U1 U 0.0000 0.0000 0.8300
P1 P 0.0000 0.0000 0.4141
P2 P 0.0000 0.0000 0.5811
# Distance to the lowest polymorph of the same formula in meV/atom: 156.6
# E_form in eV per atom: -0.907
# Fermi-level density of states in states/eV/f.u.: 11.32
# DFT total energy in eV per cell: -120.200
# M_tot in μB/atom: 1.97

(7)
# Pu3UP4, relaxed, DFT PBE-GGA
data_Pu3UP4
_symmetry_space_group_name_H-M 'P m -3 m'
_symmetry_Int_Tables_number 221
_symmetry_space_group_name_Hall '-P 4 2 3'
_cell_length_a 5.644
_cell_length_b 5.644
_cell_length_c 5.644
_cell_angle_alpha 90.00
_cell_angle_beta 90.00
_cell_angle_gamma 90.00
loop_
_atom_site_label
_atom_site_type_symbol
_atom_site_fract_x
_atom_site_fract_y
_atom_site_fract_z
Pu1 Pu 0.000 0.000 0.500
U1 U 0.500 0.500 0.500
P1 P 0.000 0.000 0.000
P2 P 0.000 0.500 0.500
# Distance to the lowest polymorph of the same formula in meV/atom: 0.0
# E_form in eV per atom: -1.102
# Fermi-level density of states in states/eV/f.u.: 32.17
# DFT total energy in eV per cell: -84.741
# M_tot in μB/atom: 2.19

(8)
# PuUP2, relaxed, DFT PBE-GGA
data_PuUP2
_symmetry_space_group_name_H-M 'R -3 m'
_symmetry_Int_Tables_number 166
_symmetry_space_group_name_Hall '-R 3 2"'
_cell_length_a 3.9596
_cell_length_b 3.9596
_cell_length_c 19.6296
_cell_angle_alpha 90.00
_cell_angle_beta 90.00
_cell_angle_gamma 120.00
loop_
_atom_site_label
_atom_site_type_symbol
_atom_site_fract_x
_atom_site_fract_y
_atom_site_fract_z
Pu1 Pu 0.0000 0.0000 0.0000
U1 U 0.0000 0.0000 0.5000
P1 P 0.0000 0.0000 0.2486
# Distance to the lowest polymorph of the same formula in meV/atom: 0.0
# E_form in eV per atom: -1.063
# Fermi-level density of states in states/eV/f.u.: 12.63
# DFT total energy in eV per cell: -122.079
# M_tot in μB/atom: 1.84